Entry 1:
# KReNi

A geometry-optimized KReNi structure (PBE-GGA, Alexandria via LeMat-Bulk).

DFT total energy = -5.85 eV per atom
DOS at the Fermi energy = 4.017 states/eV/cell
magnetic moment = 0.118 μB/atom
crystal system = triclinic
space group = P1 (1)

Geometry as POSCAR:
```
KReNi
1.0
4.121 0.000 0.000
2.059 3.570 0.000
2.049 0.954 11.372
K Re Ni
2 2 2
Cartesian
0.000 0.000 0.000 K
2.050 0.951 4.302 K
4.112 2.143 6.846 Re
6.173 3.335 7.895 Re
2.053 0.955 8.129 Ni
4.114 2.149 9.197 Ni
```

Entry 2:
# KReNi

A geometry-optimized KReNi structure (PBE-GGA, Alexandria via LeMat-Bulk).

DFT total energy = -4.33 eV per atom
DOS at the Fermi energy = 5.006 states/eV/cell
magnetic moment = 0.001 μB/atom
crystal system = cubic
space group = F-43m (216)

Geometry as POSCAR:
```
KReNi
1.0
0.000 3.146 3.146
3.146 0.000 3.146
3.146 3.146 0.000
K Re Ni
1 1 1
Cartesian
0.000 0.000 0.000 K
3.146 3.146 3.146 Re
4.719 4.719 4.719 Ni
```

Entry 3:
# KReNi2

A geometry-optimized KReNi2 structure (PBE-GGA, Alexandria via LeMat-Bulk).

DFT total energy = -5.81 eV per atom
DOS at the Fermi energy = 2.916 states/eV/cell
magnetic moment = 0.000 μB/atom
crystal system = orthorhombic
space group = Pmmm (47)

Geometry as POSCAR:
```
KReNi2
1.0
2.686 0.000 0.000
0.000 3.526 0.000
0.000 0.000 7.564
K Re Ni
1 1 2
Cartesian
0.000 0.000 0.000 K
0.000 0.000 3.782 Re
1.343 1.763 2.549 Ni
1.343 1.763 5.015 Ni
```

Entry 4:
# KReNi

A geometry-optimized KReNi structure (PBE-GGA, Alexandria via LeMat-Bulk).

DFT total energy = -5.74 eV per atom
DOS at the Fermi energy = 5.786 states/eV/cell
magnetic moment = 0.000 μB/atom
crystal system = triclinic
space group = P1 (1)

Geometry as POSCAR:
```
KReNi
1.0
2.698 0.000 0.000
-1.102 5.772 0.000
-1.345 -2.666 8.044
K Re Ni
2 2 2
Cartesian
0.000 0.000 0.000 K
-0.300 2.883 2.054 K
0.971 1.837 5.110 Re
1.772 -0.004 3.778 Re
-0.402 0.088 6.315 Ni
-0.445 3.988 5.081 Ni
```

no.,energy of formation from the pure elements (eV/atom)
1,0.590
2,2.116
3,0.467
4,0.700